# Sr2GeAsN | Alexandria via LeMat-Bulk | PBE-GGA | optimized geometry
# D(E_F) ... 0.0430 states/eV/atom
# Energy relative to the elements, uncorrected ... -71 kJ/mol of atoms
data_Sr2GeAsN
_symmetry_space_group_name_H-M 'P 1'
_symmetry_Int_Tables_number 1
_cell_length_a 4.020
_cell_length_b 6.770
_cell_length_c 9.336
_cell_angle_alpha 108.16
_cell_angle_beta 90.00
_cell_angle_gamma 90.00
loop_
_symmetry_equiv_pos_as_xyz
'x,y,z'
loop_
_atom_site_label
_atom_site_fract_x
_atom_site_fract_y
_atom_site_fract_z
Sr1 0.750 0.788 0.625
Sr2 0.750 0.800 0.053
Sr3 0.250 0.212 0.375
Sr4 0.250 0.200 0.947
Ge1 0.250 0.546 0.812
Ge2 0.750 0.454 0.188
As1 0.250 0.684 0.334
As2 0.750 0.316 0.666
N1 0.250 0.824 0.815
N2 0.750 0.176 0.185

=====

# GeTeAsN2 | Alexandria via LeMat-Bulk | PBE-GGA | optimized geometry
# D(E_F) ... 0.4611 states/eV/atom
# E above lowest polymorph ... 43 meV/atom
# Energy relative to the elements, uncorrected ... 130 kJ/mol of atoms
data_GeTeAsN2
_symmetry_space_group_name_H-M 'P 1'
_symmetry_Int_Tables_number 1
_cell_length_a 3.863
_cell_length_b 3.863
_cell_length_c 6.548
_cell_angle_alpha 90.00
_cell_angle_beta 90.00
_cell_angle_gamma 90.00
loop_
_symmetry_equiv_pos_as_xyz
'x,y,z'
loop_
_atom_site_label
_atom_site_fract_x
_atom_site_fract_y
_atom_site_fract_z
As1 0.000 0.000 0.000
Te1 0.000 0.000 0.500
Ge1 0.500 0.500 0.500
N1 0.000 0.500 0.000
N2 0.500 0.000 0.000

=====

# GeTeAsN2 | Alexandria via LeMat-Bulk | PBE-GGA | optimized geometry
# D(E_F) ... 0.9189 states/eV/atom
# E above lowest polymorph ... 0 meV/atom
# Energy relative to the elements, uncorrected ... 125 kJ/mol of atoms
data_GeTeAsN2
_symmetry_space_group_name_H-M 'P 1'
_symmetry_Int_Tables_number 1
_cell_length_a 3.787
_cell_length_b 3.787
_cell_length_c 7.831
_cell_angle_alpha 90.00
_cell_angle_beta 90.00
_cell_angle_gamma 90.00
loop_
_symmetry_equiv_pos_as_xyz
'x,y,z'
loop_
_atom_site_label
_atom_site_fract_x
_atom_site_fract_y
_atom_site_fract_z
As1 0.500 0.500 0.500
Te1 0.000 0.000 0.500
Ge1 0.000 0.000 0.000
N1 0.000 0.500 0.000
N2 0.500 0.000 0.000

=====

Copy entry 1 word for word.
# Sr2GeAsN | Alexandria via LeMat-Bulk | PBE-GGA | optimized geometry
# D(E_F) ... 0.0430 states/eV/atom
# Energy relative to the elements, uncorrected ... -71 kJ/mol of atoms
data_Sr2GeAsN
_symmetry_space_group_name_H-M 'P 1'
_symmetry_Int_Tables_number 1
_cell_length_a 4.020
_cell_length_b 6.770
_cell_length_c 9.336
_cell_angle_alpha 108.16
_cell_angle_beta 90.00
_cell_angle_gamma 90.00
loop_
_symmetry_equiv_pos_as_xyz
'x,y,z'
loop_
_atom_site_label
_atom_site_fract_x
_atom_site_fract_y
_atom_site_fract_z
Sr1 0.750 0.788 0.625
Sr2 0.750 0.800 0.053
Sr3 0.250 0.212 0.375
Sr4 0.250 0.200 0.947
Ge1 0.250 0.546 0.812
Ge2 0.750 0.454 0.188
As1 0.250 0.684 0.334
As2 0.750 0.316 0.666
N1 0.250 0.824 0.815
N2 0.750 0.176 0.185

=====

What did the first record say?
# Sr2GeAsN | Alexandria via LeMat-Bulk | PBE-GGA | optimized geometry
# D(E_F) ... 0.0430 states/eV/atom
# Energy relative to the elements, uncorrected ... -71 kJ/mol of atoms
data_Sr2GeAsN
_symmetry_space_group_name_H-M 'P 1'
_symmetry_Int_Tables_number 1
_cell_length_a 4.020
_cell_length_b 6.770
_cell_length_c 9.336
_cell_angle_alpha 108.16
_cell_angle_beta 90.00
_cell_angle_gamma 90.00
loop_
_symmetry_equiv_pos_as_xyz
'x,y,z'
loop_
_atom_site_label
_atom_site_fract_x
_atom_site_fract_y
_atom_site_fract_z
Sr1 0.750 0.788 0.625
Sr2 0.750 0.800 0.053
Sr3 0.250 0.212 0.375
Sr4 0.250 0.200 0.947
Ge1 0.250 0.546 0.812
Ge2 0.750 0.454 0.188
As1 0.250 0.684 0.334
As2 0.750 0.316 0.666
N1 0.250 0.824 0.815
N2 0.750 0.176 0.185

=====

Copy entry 1 word for word.
# Sr2GeAsN | Alexandria via LeMat-Bulk | PBE-GGA | optimized geometry
# D(E_F) ... 0.0430 states/eV/atom
# Energy relative to the elements, uncorrected ... -71 kJ/mol of atoms
data_Sr2GeAsN
_symmetry_space_group_name_H-M 'P 1'
_symmetry_Int_Tables_number 1
_cell_length_a 4.020
_cell_length_b 6.770
_cell_length_c 9.336
_cell_angle_alpha 108.16
_cell_angle_beta 90.00
_cell_angle_gamma 90.00
loop_
_symmetry_equiv_pos_as_xyz
'x,y,z'
loop_
_atom_site_label
_atom_site_fract_x
_atom_site_fract_y
_atom_site_fract_z
Sr1 0.750 0.788 0.625
Sr2 0.750 0.800 0.053
Sr3 0.250 0.212 0.375
Sr4 0.250 0.200 0.947
Ge1 0.250 0.546 0.812
Ge2 0.750 0.454 0.188
As1 0.250 0.684 0.334
As2 0.750 0.316 0.666
N1 0.250 0.824 0.815
N2 0.750 0.176 0.185